# 1
Below is a relaxed InSb2S4Br crystal, with properties calculated at the PBE level.

Volume = 209 Å³ per cell
D(E_F) = 0.00 states/eV/atom
Formation energy from raw total energies = -0.40 eV per atom

Cell lengths 6.685, 6.685, 9.762 Å; angles 118.25, 118.25, 33.45 degrees
Sites, in units of the cell vectors:
In 0.000 0.000 0.000
Sb 0.203 0.203 0.765
Sb 0.797 0.797 0.235
S 0.182 0.182 0.285
S 0.380 0.380 0.056
S 0.620 0.620 0.944
S 0.818 0.818 0.715
Br 0.500 0.500 0.500

=====

# 2
Below is a relaxed Y3HfV crystal, with properties calculated at the PBE level.

Volume = 168 Å³ per cell
D(E_F) = 1.37 states/eV/atom
Polymorph energy (0 for the lowest one) = 347.9 meV per atom

Cell lengths 5.521, 5.521, 5.521 Å; angles 90.00, 90.00, 90.00 degrees
Sites, in units of the cell vectors:
Y 0.000 0.000 0.500
Y 0.000 0.500 0.000
Y 0.500 0.000 0.000
Hf 0.000 0.000 0.000
V 0.500 0.500 0.500

=====

# 3
Below is a relaxed Tb3ErSc2 crystal, with properties calculated at the PBE level.

Volume = 359 Å³ per cell
D(E_F) = 1.79 states/eV/atom
Polymorph energy (0 for the lowest one) = 0.0 meV per atom

Cell lengths 11.438, 11.438, 9.869 Å; angles 107.65, 107.65, 16.96 degrees
Sites, in units of the cell vectors:
Tb 0.059 0.059 0.431
Tb 0.197 0.197 0.708
Tb 0.430 0.430 0.224
Tb 0.570 0.570 0.776
Tb 0.803 0.803 0.292
Tb 0.941 0.941 0.569
Er 0.186 0.186 0.044
Er 0.814 0.814 0.956
Sc 0.192 0.192 0.372
Sc 0.427 0.427 0.862
Sc 0.573 0.573 0.138
Sc 0.808 0.808 0.628

=====

# 4
Below is a relaxed TiAsIBr2 crystal, with properties calculated at the PBE level.

Volume = 135 Å³ per cell
D(E_F) = 0.71 states/eV/atom
Formation energy from raw total energies = -0.31 eV per atom
Polymorph energy (0 for the lowest one) = 0.0 meV per atom

Cell lengths 4.925, 4.925, 5.557 Å; angles 90.00, 90.00, 90.00 degrees
Sites, in units of the cell vectors:
Ti 0.000 0.000 0.000
As 0.000 0.000 0.500
I 0.500 0.500 0.500
Br 0.000 0.500 0.000
Br 0.500 0.000 0.000

=====

# 5
Below is a relaxed Pr2Dy2Te5 crystal, with properties calculated at the PBE level.

Volume = 552 Å³ per cell
D(E_F) = 0.73 states/eV/atom
Formation energy from raw total energies = -1.33 eV per atom
Polymorph energy (0 for the lowest one) = 0.0 meV per atom

Cell lengths 9.038, 9.038, 8.285 Å; angles 90.00, 90.00, 54.67 degrees
Sites, in units of the cell vectors:
Pr 0.198 0.198 0.000
Pr 0.302 0.302 0.500
Pr 0.698 0.698 0.500
Pr 0.802 0.802 0.000
Dy 0.146 0.854 0.650
Dy 0.354 0.646 0.150
Dy 0.646 0.354 0.850
Dy 0.854 0.146 0.350
Te 0.000 0.000 0.000
Te 0.024 0.706 0.344
Te 0.206 0.524 0.844
Te 0.294 0.976 0.344
Te 0.476 0.794 0.844
Te 0.500 0.500 0.500
Te 0.524 0.206 0.156
Te 0.706 0.024 0.656
Te 0.794 0.476 0.156
Te 0.976 0.294 0.656

=====

# 6
Below is a relaxed SbP3Ir crystal, with properties calculated at the PBE level.

Volume = 101 Å³ per cell
D(E_F) = 0.91 states/eV/atom
Formation energy from raw total energies = 0.62 eV per atom
Polymorph energy (0 for the lowest one) = 0.0 meV per atom

Cell lengths 4.663, 4.663, 4.663 Å; angles 90.00, 90.00, 90.00 degrees
Sites, in units of the cell vectors:
Sb 0.000 0.000 0.000
P 0.000 0.500 0.500
P 0.500 0.000 0.500
P 0.500 0.500 0.000
Ir 0.500 0.500 0.500